# 1
KCoBiO4 | GGA+U | relaxed

Results
Magnetization ... 10.00 μB per cell
Total DFT energy (no corrections) ... -5.3650 eV/atom

Lattice parameters (Å, degrees): 6.078 5.946 7.363 90.00 107.17 90.00
Space group P2_1/m (No. 11)
One atom of each set of equivalent atoms:
K: 0.208 0.250 0.439 (multiplicity 2)
Co: 0.238 0.750 0.171 (multiplicity 2)
Bi: 0.291 0.250 0.967 (multiplicity 2)
O: 0.029 0.750 0.939 (multiplicity 2)
O: 0.068 0.750 0.327 (multiplicity 2)
O: 0.435 0.510 0.187 (multiplicity 4)

=====

# 2
K3Co2BiO6 | GGA+U | relaxed

Results
Magnetization ... 15.98 μB per cell
Total DFT energy (no corrections) ... -5.0568 eV/atom

Lattice parameters (Å, degrees): 5.627 10.183 6.355 90.00 106.34 90.00
Space group C2/m (No. 12)
One atom of each set of equivalent atoms:
K: 0.000 0.000 0.000 (multiplicity 2)
K: 0.000 0.331 0.000 (multiplicity 4)
Co: 0.000 0.156 0.500 (multiplicity 4)
Bi: 0.000 0.500 0.500 (multiplicity 2)
O: 0.204 0.000 0.688 (multiplicity 4)
O: 0.229 0.172 0.322 (multiplicity 8)

=====

# 3
K3CoBi3O8 | GGA+U | relaxed

Results
Magnetization ... 10.13 μB per cell
Total DFT energy (no corrections) ... -5.1692 eV/atom

Lattice parameters (Å, degrees): 11.967 6.907 7.482 90.00 122.22 90.00
Space group C2/m (No. 12)
One atom of each set of equivalent atoms:
K: 0.000 0.000 0.000 (multiplicity 2)
K: 0.250 0.250 0.000 (multiplicity 4)
Co: 0.000 0.000 0.500 (multiplicity 2)
Bi: 0.000 0.500 0.500 (multiplicity 2)
Bi: 0.250 0.250 0.500 (multiplicity 4)
O: 0.018 0.234 0.324 (multiplicity 8)
O: 0.212 0.000 0.674 (multiplicity 4)
O: 0.234 0.500 0.704 (multiplicity 4)